1.
Compound: Sr3Ni
Source: OQMD
Functional: GGA-PBE
Structure: relaxed

a = 7.841 Å, b = 7.841 Å, c = 5.283 Å
α = 90.00°, β = 90.00°, γ = 120.00°
Sites, in units of the cell vectors:
Sr1 0.364 0.182 0.750
Sr2 0.818 0.636 0.750
Sr3 0.182 0.364 0.250
Sr4 0.636 0.818 0.250
Sr5 0.182 0.818 0.250
Sr6 0.818 0.182 0.750
Ni1 0.333 0.667 0.750
Ni2 0.667 0.333 0.250

The total energy comes out at -2.34 eV per atom. The symmetry is P6_3/mmc, No. 194.

2.
Compound: DyHo2Sn3Pd2Pt
Source: OQMD
Functional: GGA-PBE
Structure: relaxed

a = 3.942 Å, b = 7.577 Å, c = 7.577 Å
α = 120.04°, β = 90.00°, γ = 90.00°
Sites, in units of the cell vectors:
Dy1 0.000 0.599 0.599
Ho1 0.000 0.000 0.401
Ho2 0.000 0.401 0.000
Pd1 0.500 0.667 0.333
Pd2 0.500 0.333 0.667
Sn1 0.500 0.262 0.262
Sn2 0.500 0.000 0.738
Sn3 0.500 0.738 0.000
Pt1 0.000 0.001 0.001

The total energy comes out at -5.67 eV per atom. The symmetry is Amm2, No. 38.

3.
Compound: PaSiAu
Source: OQMD
Functional: GGA-PBE
Structure: relaxed

a = 4.602 Å, b = 4.602 Å, c = 4.602 Å
α = 60.00°, β = 60.00°, γ = 60.00°
Sites, in units of the cell vectors:
Pa1 0.750 0.750 0.750
Au1 0.250 0.250 0.250
Si1 0.000 0.000 0.000

The total energy comes out at -6.13 eV per atom. The symmetry is F-43m, No. 216.

4.
Compound: CdInCuIr
Source: OQMD
Functional: GGA-PBE
Structure: relaxed

a = 4.573 Å, b = 4.573 Å, c = 4.573 Å
α = 60.00°, β = 60.00°, γ = 60.00°
Sites, in units of the cell vectors:
Cu1 0.750 0.750 0.750
Ir1 0.250 0.250 0.250
In1 0.000 0.000 0.000
Cd1 0.500 0.500 0.500

The total energy comes out at -4.00 eV per atom. The symmetry is F-43m, No. 216.

5.
Compound: BaTaN2O
Source: OQMD
Functional: GGA-PBE
Structure: relaxed

a = 7.196 Å, b = 7.196 Å, c = 7.196 Å
α = 109.52°, β = 109.52°, γ = 109.38°
Each line ends with the local moment (μB).
Sites, in units of the cell vectors:
O1 0.500 0.252 0.752  0.03
O2 0.500 0.748 0.248  0.03
O3 0.748 0.500 0.248  0.04
O4 0.252 0.500 0.752  0.04
Ba1 0.750 0.250 0.500  0.01
Ba2 0.739 0.739 0.000  0.00
Ba3 0.261 0.261 0.000  0.00
Ba4 0.250 0.750 0.500  0.01
Ta1 0.755 0.245 0.000  -0.07
Ta2 0.245 0.755 0.000  -0.07
Ta3 0.245 0.245 0.490  -0.07
Ta4 0.755 0.755 0.510  -0.07
N1 0.000 0.500 0.000  0.18
N2 0.500 0.500 0.500  0.17
N3 0.000 0.000 0.500  0.17
N4 0.751 0.000 0.751  0.28
N5 0.500 0.000 0.000  0.15
N6 0.000 0.751 0.751  0.28
N7 0.000 0.249 0.249  0.28
N8 0.249 0.000 0.249  0.28

The total energy comes out at -8.52 eV per atom. The symmetry is I4/mmm, No. 139.

6.
Compound: ScCd2Hg
Source: OQMD
Functional: GGA-PBE
Structure: relaxed

a = 4.917 Å, b = 4.917 Å, c = 4.917 Å
α = 60.00°, β = 60.00°, γ = 60.00°
Sites, in units of the cell vectors:
Hg1 0.750 0.750 0.750
Cd1 0.250 0.250 0.250
Cd2 0.500 0.500 0.500
Sc1 0.000 0.000 0.000

The value obtained for the formation energy is -236 meV per atom. The symmetry is F-43m, No. 216.

7.
Compound: CuB2Mo2
Source: OQMD
Functional: GGA-PBE
Structure: relaxed

a = 5.733 Å, b = 5.733 Å, c = 3.180 Å
α = 90.00°, β = 90.00°, γ = 148.89°
Sites, in units of the cell vectors:
B1 0.794 0.206 0.000
B2 0.206 0.794 0.000
Mo1 0.360 0.640 0.500
Mo2 0.640 0.360 0.500
Cu1 0.000 0.000 0.000

The total energy comes out at -8.03 eV per atom. The symmetry is Cmmm, No. 65.

8.
Compound: AlAsAu
Source: OQMD
Functional: GGA-PBE
Structure: relaxed

a = 4.428 Å, b = 4.428 Å, c = 4.428 Å
α = 60.00°, β = 60.00°, γ = 60.00°
Sites, in units of the cell vectors:
As1 0.750 0.750 0.750
Au1 0.000 0.000 0.000
Al1 0.250 0.250 0.250

The total energy comes out at -3.94 eV per atom. The symmetry is F-43m, No. 216.

9.
Compound: Co
Source: OQMD
Functional: GGA-PBE
Structure: relaxed

a = 2.682 Å, b = 3.880 Å, c = 4.719 Å
α = 65.72°, β = 90.00°, γ = 90.00°
Each line ends with the local moment (μB).
Sites, in units of the cell vectors:
Co1 0.002 0.634 0.731  1.70
Co2 0.998 0.366 0.269  1.70
Co3 0.498 0.134 0.731  1.70
Co4 0.502 0.866 0.269  1.70

The value obtained for the formation energy is 358 meV per atom. The symmetry is Cmce, No. 64.

10.
Compound: KTaBr6
Source: OQMD
Functional: GGA-PBE
Structure: relaxed

a = 6.898 Å, b = 6.898 Å, c = 8.099 Å
α = 109.45°, β = 109.45°, γ = 99.27°
Sites, in units of the cell vectors:
K1 0.500 0.500 0.500
Br1 0.290 0.948 0.258
Br2 0.716 0.716 0.997
Br3 0.052 0.710 0.742
Br4 0.948 0.290 0.258
Br5 0.284 0.284 0.003
Br6 0.710 0.052 0.742
Ta1 0.000 0.000 0.000

The total energy comes out at -4.00 eV per atom. The symmetry is C2/m, No. 12.

11.
Compound: BeSiOsPb
Source: OQMD
Functional: GGA-PBE
Structure: relaxed

a = 4.486 Å, b = 4.486 Å, c = 4.486 Å
α = 60.00°, β = 60.00°, γ = 60.00°
Sites, in units of the cell vectors:
Os1 0.000 0.000 0.000
Pb1 0.500 0.500 0.500
Be1 0.750 0.750 0.750
Si1 0.250 0.250 0.250

The total energy comes out at -5.16 eV per atom. The symmetry is F-43m, No. 216.

12.
Compound: PrYB
Source: OQMD
Functional: GGA-PBE
Structure: relaxed

a = 4.642 Å, b = 4.642 Å, c = 4.642 Å
α = 60.00°, β = 60.00°, γ = 60.00°
Sites, in units of the cell vectors:
Pr1 0.250 0.250 0.250
B1 0.000 0.000 0.000
Y1 0.750 0.750 0.750

The total energy comes out at -5.81 eV per atom. The symmetry is F-43m, No. 216.

13.
Compound: NaNdBeS3
Source: OQMD
Functional: GGA-PBE
Structure: relaxed

a = 6.668 Å, b = 6.668 Å, c = 10.919 Å
α = 90.00°, β = 90.00°, γ = 145.95°
Sites, in units of the cell vectors:
Be1 0.538 0.462 0.250
Be2 0.462 0.538 0.750
S1 0.935 0.065 0.250
S2 0.367 0.633 0.595
S3 0.065 0.935 0.750
S4 0.367 0.633 0.905
S5 0.633 0.367 0.095
S6 0.633 0.367 0.405
Na1 0.248 0.752 0.250
Na2 0.752 0.248 0.750
Nd1 0.000 0.000 0.500
Nd2 0.000 0.000 0.000

The total energy comes out at -5.14 eV per atom. The symmetry is Cmcm, No. 63.